Crystalline Nd3Ga4Cu4 at its relaxed geometry, computed with PBE.

Properties
- size of the total moment (μB per cell) = 0.0
- DOS(E_F) (states/eV/f.u.) = 12.9
- calculated formation energy (meV/atom) = -405

The structure in CIF format:
```
data_Nd3Ga4Cu4
_symmetry_space_group_name_H-M 'I m m m'
_symmetry_Int_Tables_number 71
_symmetry_space_group_name_Hall '-I 2 2'
_cell_length_a 4.378
_cell_length_b 6.874
_cell_length_c 14.255
_cell_angle_alpha 90.00
_cell_angle_beta 90.00
_cell_angle_gamma 90.00
loop_
_atom_site_label
_atom_site_fract_x
_atom_site_fract_y
_atom_site_fract_z
Nd1 0.000 0.000 0.000
Nd2 0.000 0.500 0.135
Ga1 0.000 0.000 0.216
Ga2 0.000 0.185 0.500
Cu1 0.000 0.314 0.332
```